Below is a relaxed SbTe2MoW crystal, with properties calculated at the PBE level.

```
data_SbTe2MoW
_cell_length_a 5.317
_cell_length_b 5.317
_cell_length_c 5.248
_cell_angle_alpha 90.00
_cell_angle_beta 90.00
_cell_angle_gamma 90.00
_symmetry_space_group_name_H-M 'P 4/m m m'
_symmetry_Int_Tables_number 123
_symmetry_space_group_name_Hall '-P 4 2'
loop_
_atom_site_label
_atom_site_fract_x
_atom_site_fract_y
_atom_site_fract_z
_atom_site_occupancy
Sb1 0.000 0.000 0.000 1
Te1 0.000 0.500 0.500 1
Mo1 0.500 0.500 0.000 1
W1 0.000 0.000 0.500 1
```

## Properties
- Formation energy from raw total energies: 1.33 eV per atom
- Density of states at the Fermi level: 4.97 states/eV/f.u.
- Calculated total energy: -27.5 eV for the cell shown